# PBE Ac2PaSn3Ir4, optimized geometry
data_Ac2PaSn3Ir4
_symmetry_space_group_name_H-M 'P -4 m 2'
_symmetry_Int_Tables_number 115
_symmetry_space_group_name_Hall 'P -4 -2'
_cell_length_a 4.603
_cell_length_b 4.603
_cell_length_c 11.237
_cell_angle_alpha 90.00
_cell_angle_beta 90.00
_cell_angle_gamma 90.00
loop_
_atom_site_label
_atom_site_type_symbol
_atom_site_fract_x
_atom_site_fract_y
_atom_site_fract_z
Ac1 Ac 0.000 0.500 0.230
Pa1 Pa 0.000 0.000 0.500
Sn1 Sn 0.000 0.500 0.874
Sn2 Sn 0.500 0.500 0.500
Ir1 Ir 0.000 0.000 0.000
Ir2 Ir 0.000 0.500 0.635
Ir3 Ir 0.500 0.500 0.000
# **ρ**: 12.62 g/cm3
# **M_tot**: 0.0 Bohr magnetons per cell
# **Energy of formation from the pure elements**: -0.643 eV/atom
# **N(E_F)**: 5.04 states/eV/cell